The following is a DFT calculation (GGA+U) of LiMnSiO4 after structural relaxation.

Results
* D(E_F): 0.6 states/eV per cell
* excess energy over the best structure of this formula in the dataset: 25.9 meV/atom
* magnetization: 4.00 μB per formula unit

CIF file:
```
data_LiMnSiO4
_cell_length_a 5.5402
_cell_length_b 8.1243
_cell_length_c 6.3273
_cell_angle_alpha 90.00
_cell_angle_beta 90.00
_cell_angle_gamma 90.00
_symmetry_space_group_name_H-M 'C m c m'
_symmetry_Int_Tables_number 63
_symmetry_space_group_name_Hall '-C 2c 2'
loop_
_atom_site_label
_atom_site_fract_x
_atom_site_fract_y
_atom_site_fract_z
_atom_site_occupancy
Li1 0.0000 0.1724 0.2500 1
Mn1 0.0000 0.5000 0.0000 1
Si1 0.0000 0.1544 0.7500 1
O1 0.0000 0.2675 0.5367 1
O2 0.2377 0.0282 0.7500 1
```